(1)
{
  "formula": "La8Co3HI4",
  "functional": "PBE-GGA",
  "state": "relaxed",
  "lattice": [[-6.089, 2.041, -4.898], [-6.167, -1.539, 7.026], [5.980, 5.565, 1.544]],
  "species": ["La", "I", "Co", "La", "H", "La", "La", "Co", "La", "I", "I", "La", "I", "La", "Co", "La"],
  "fractional_positions": [[0.765, 0.318, 0.039], [0.500, 0.000, 0.000], [0.500, 0.500, 0.500], [0.268, 0.319, 0.537], [0.000, 0.500, 0.000], [0.732, 0.681, 0.463], [0.274, 0.318, 0.039], [0.500, 0.500, 0.000], [0.726, 0.682, 0.961], [0.500, 0.000, 0.500], [0.000, 0.000, 0.000], [0.236, 0.682, 0.473], [0.000, 0.000, 0.500], [0.764, 0.318, 0.527], [0.000, 0.500, 0.500], [0.235, 0.682, 0.961]],
  "dft_energy_ev_per_atom": -5.075
}



(2)
{
  "formula": "HfAl3Co",
  "functional": "PBE-GGA",
  "state": "relaxed",
  "lattice": [[3.879, 0.000, 0.000], [0.000, 7.952, 0.000], [0.000, 0.000, 10.281]],
  "species": ["Al", "Co", "Co", "Al", "Al", "Co", "Al", "Hf", "Hf", "Al", "Al", "Hf", "Al", "Al", "Al", "Co", "Hf", "Al", "Al", "Al"],
  "fractional_positions": [[0.750, 0.944, 0.581], [0.750, 0.891, 0.354], [0.750, 0.391, 0.146], [0.250, 0.353, 0.282], [0.750, 0.647, 0.718], [0.250, 0.609, 0.854], [0.250, 0.893, 0.798], [0.750, 0.812, 0.012], [0.750, 0.312, 0.488], [0.250, 0.393, 0.702], [0.250, 0.853, 0.218], [0.250, 0.688, 0.512], [0.750, 0.607, 0.298], [0.750, 0.107, 0.202], [0.250, 0.056, 0.419], [0.250, 0.109, 0.646], [0.250, 0.188, 0.988], [0.750, 0.444, 0.919], [0.250, 0.556, 0.081], [0.750, 0.147, 0.782]],
  "formation_energy_ev_per_fu": -2.22
}



(3)
{
  "formula": "Ce8PuIr6",
  "functional": "PBE-GGA",
  "state": "relaxed",
  "lattice": [[-1.431, 4.459, -0.800], [-1.129, -1.895, -8.541], [-6.654, -1.116, 5.683]],
  "species": ["Ce", "Ce", "Ce", "Ir", "Ce", "Ir", "Ce", "Ce", "Pu", "Ir", "Ce", "Ir", "Ir", "Ce", "Ir"],
  "fractional_positions": [[0.748, 0.667, 0.333], [0.247, 0.985, 0.245], [0.753, 0.245, 0.260], [0.247, 0.896, 0.510], [0.247, 0.755, 0.740], [0.753, 0.386, 0.896], [0.753, 0.740, 0.985], [0.753, 0.015, 0.755], [0.500, 0.000, 0.000], [0.753, 0.510, 0.614], [0.252, 0.333, 0.667], [0.247, 0.614, 0.104], [0.247, 0.490, 0.386], [0.247, 0.260, 0.015], [0.753, 0.104, 0.490]],
  "formation_energy_ev_per_fu": -6.51
}



(4)
{
  "formula": "AlVHg3",
  "functional": "PBE-GGA",
  "state": "relaxed",
  "lattice": [[-1.172, -4.415, -2.300], [4.549, 0.010, -2.337], [2.022, -2.581, 3.925]],
  "species": ["Hg", "Al", "Hg", "Hg", "V"],
  "fractional_positions": [[0.500, 0.000, 0.000], [0.000, 0.000, 0.000], [0.000, 0.500, 0.000], [0.000, 0.000, 0.500], [0.500, 0.500, 0.500]],
  "formation_energy_ev_per_fu": 3.74
}